Run a
## SrCuAsPd (PBE)

Data for a relaxed structure of SrCuAsPd.

Properties
Its density is 7.0 g cm⁻³.

abc: 6.7938 6.7938 6.7938
angles: 90.00 90.00 90.00
Space group F-43m (No. 216)
Unique sites:
Sr: 0.0000 0.0000 0.0000 [4 per cell]
Cu: 0.2500 0.2500 0.2500 [4 per cell]
As: 0.0000 0.0000 0.5000 [4 per cell]
Pd: 0.2500 0.2500 0.7500 [4 per cell]

Run b
## SrCuAsPd (PBE)

Data for a relaxed structure of SrCuAsPd.

Properties
Its density is 6.8 g cm⁻³.

abc: 6.8684 6.8684 6.8684
angles: 90.00 90.00 90.00
Space group F-43m (No. 216)
Unique sites:
Sr: 0.0000 0.0000 0.0000 [4 per cell]
Cu: 0.0000 0.0000 0.5000 [4 per cell]
As: 0.2500 0.2500 0.2500 [4 per cell]
Pd: 0.2500 0.2500 0.7500 [4 per cell]

Energies relative to the minimum, kJ/mol of atoms: run a 0.0; run b 6.9

Run a
## TaCuAsPd (PBE)

Data for a relaxed structure of TaCuAsPd.

Properties
Its density is 11.0 g cm⁻³. As for the total moment: 0.17 μB/f.u.

abc: 6.3503 6.3503 6.3503
angles: 90.00 90.00 90.00
Space group F-43m (No. 216)
Unique sites:
Ta: 0.0000 0.0000 0.0000 [4 per cell]
Cu: 0.2500 0.2500 0.7500 [4 per cell]
As: 0.0000 0.0000 0.5000 [4 per cell]
Pd: 0.2500 0.2500 0.2500 [4 per cell]

Run b
## TaCuAsPd (PBE)

Data for a relaxed structure of TaCuAsPd.

Properties
Its density is 11.3 g cm⁻³. As for the total moment: 0.00 μB/f.u.

abc: 6.2964 6.2964 6.2964
angles: 90.00 90.00 90.00
Space group F-43m (No. 216)
Unique sites:
Ta: 0.0000 0.0000 0.0000 [4 per cell]
Cu: 0.0000 0.0000 0.5000 [4 per cell]
As: 0.2500 0.2500 0.2500 [4 per cell]
Pd: 0.2500 0.2500 0.7500 [4 per cell]

Energies relative to the minimum, kJ/mol of atoms: run a 27.6; run b 0.0